# 1
CeYAl4 | SCAN | single point on PBEsol structure

Computed properties:
Crystal system: cubic
Energy of formation from the pure elements (eV per atom): -0.50

Lattice parameters (Å, degrees): 5.548 5.548 5.548 60.00 60.00 60.00
Positions (direct):
Y: 0.000 0.000 0.000
Al: 0.873 0.376 0.376
Al: 0.376 0.376 0.376
Al: 0.376 0.873 0.376
Al: 0.376 0.376 0.873
Ce: 0.750 0.750 0.750

# 2
Al3Cl | SCAN | single point on PBEsol structure

Computed properties:
Crystal system: orthorhombic
Formation energy from raw total energies (eV/atom): 0.202

Lattice parameters (Å, degrees): 5.219 5.218 5.510 90.00 90.00 90.00
Positions (direct):
Al: 0.500 0.748 0.000
Al: 0.000 0.252 0.500
Al: 0.000 0.756 0.750
Al: 0.000 0.756 0.250
Al: 0.500 0.244 0.250
Al: 0.500 0.244 0.750
Cl: 0.000 0.257 0.000
Cl: 0.500 0.743 0.500